Compound: CsUGe2O8
Source: Alexandria via LeMat-Bulk
Functional: GGA-PBE
Structure: relaxed

Lattice parameters (Å, degrees): 5.787 5.787 9.247 71.77 71.77 60.00
Each line ends with the local moment (μB).
Fractional coordinates of all 12 atoms:
1 Cs 0.000 0.000 0.000  0.01
2 U 0.500 0.500 0.500  -0.01
3 Ge 0.761 0.761 0.716  -0.01
4 Ge 0.239 0.239 0.284  -0.01
5 O 0.694 0.694 0.918  0.34
6 O 0.306 0.306 0.082  0.34
7 O 0.378 0.378 0.361  0.02
8 O 0.622 0.622 0.639  0.02
9 O 0.116 0.622 0.639  0.02
10 O 0.378 0.884 0.361  0.02
11 O 0.884 0.378 0.361  0.02
12 O 0.622 0.116 0.639  0.02

E_form (uncorrected) in eV/atom: -1.95
SG: R-3m, No. 166